1.
The following is a DFT calculation (PBE) of a relaxed structure of YScNF2.

The density of states at the Fermi level is 2.2 states/eV/f.u. The value obtained for the total magnetization is 1.0 μB per cell. For the uncorrected formation energy, the calculation gives -9.47 eV per formula unit. The excess energy over the best structure of this formula in the dataset is 31.5 kJ/mol of atoms.

It has space group P4/mmm (No. 123), with a = 4.2490 Å, b = 4.2490 Å, c = 4.7402 Å, α = 90.00°, β = 90.00° and γ = 90.00°. The distinct sites, in fractional coordinates, are Y at (0.0000, 0.0000, 0.0000), Sc at (0.5000, 0.5000, 0.5000), N at (0.0000, 0.0000, 0.5000) and F at (0.0000, 0.5000, 0.0000).



2.
The following is a DFT calculation (PBE) of a relaxed structure of V2CSe.

The density of states at the Fermi level is 6.2 states/eV/f.u. The value obtained for the total magnetization is 11.1 μB per cell. For the uncorrected formation energy, the calculation gives 0.04 eV per formula unit.

It has space group I-42d (No. 122), with a = 5.1923 Å, b = 5.1923 Å, c = 9.5348 Å, α = 90.00°, β = 90.00° and γ = 90.00°. The distinct sites, in fractional coordinates, are V at (0.1695, 0.2500, 0.1250), C at (0.0000, 0.0000, 0.0000) and Se at (0.0000, 0.0000, 0.5000).



3.
The following is a DFT calculation (PBE) of a relaxed structure of Tm12Cd6Ag.

The density of states at the Fermi level is 23.1 states/eV/f.u. The value obtained for the total magnetization is 0.0 μB per cell. The value obtained for the formation energy is -0.09 eV per atom.

It has space group R-3 (No. 148, hexagonal axes), with a = 11.1053 Å, b = 11.1053 Å, c = 14.2042 Å, α = 90.00°, β = 90.00° and γ = 120.00°. The distinct sites, in fractional coordinates, are Tm at (0.0241, 0.1856, 0.3236), Tm at (0.0598, 0.8517, 0.9069), Cd at (0.0299, 0.4347, 0.2040) and Ag at (0.0000, 0.0000, 0.5000).



4.
The following is a DFT calculation (PBE) of a relaxed structure of CeHfNiRh.

The density of states at the Fermi level is 6.4 states/eV/f.u. The value obtained for the total magnetization is 0.9 μB per cell. The value obtained for the formation energy is -0.43 eV per atom.

It has space group F-43m (No. 216), with a = 6.6950 Å, b = 6.6950 Å, c = 6.6950 Å, α = 90.00°, β = 90.00° and γ = 90.00°. The distinct sites, in fractional coordinates, are Ce at (0.0000, 0.0000, 0.0000), Hf at (0.0000, 0.0000, 0.5000), Ni at (0.2500, 0.2500, 0.7500) and Rh at (0.2500, 0.2500, 0.2500).



5.
The following is a DFT calculation (PBE) of a relaxed structure of Ce4Pm3Sb4.

The density of states at the Fermi level is 16.9 states/eV/f.u. The value obtained for the total magnetization is 0.1 μB per cell. For the uncorrected formation energy, the calculation gives -7.34 eV per formula unit.

It has space group Immm (No. 71), with a = 4.1025 Å, b = 10.3422 Å, c = 15.6179 Å, α = 90.00°, β = 90.00° and γ = 90.00°. The distinct sites, in fractional coordinates, are Ce at (0.0000, 0.2261, 0.1941), Pm at (0.0000, 0.0000, 0.3883), Pm at (0.0000, 0.5000, 0.5000), Sb at (0.0000, 0.2954, 0.0000) and Sb at (0.0000, 0.5000, 0.2792).



6.
The following is a DFT calculation (PBE) of a relaxed structure of VC3S.

The density of states at the Fermi level is 5.1 states/eV/f.u. The value obtained for the total magnetization is 0.0 μB per cell. For the uncorrected formation energy, the calculation gives 11.42 eV per formula unit. The excess energy over the best structure of this formula in the dataset is 1.2 kJ/mol of atoms.

It has space group Pm-3m (No. 221), with a = 3.9757 Å, b = 3.9757 Å, c = 3.9757 Å, α = 90.00°, β = 90.00° and γ = 90.00°. The distinct sites, in fractional coordinates, are V at (0.0000, 0.0000, 0.0000), C at (0.0000, 0.0000, 0.5000) and S at (0.5000, 0.5000, 0.5000).